Crystalline K2ScSi at its relaxed geometry. Source: the Alexandria database, functional PBE.

Cell: 6.163 4.408 4.407 Å, 82.11 90.00 90.00°
Each line ends with the local moment (μB).
Fractional positions:
1 K 0.000 0.976 0.976  0.04
2 K 0.000 0.524 0.524  0.04
3 Sc 0.500 0.250 0.250  0.42
4 Si 0.500 0.750 0.750  0.00

Uncorrected formation energy, eV/atom: 0.476

***

Crystalline K2ScSi at its relaxed geometry. Source: the Alexandria database, functional PBE.

Cell: 6.483 6.483 3.734 Å, 90.00 90.00 126.05°
Each line ends with the local moment (μB).
Fractional positions:
1 K 0.000 0.000 0.000  0.03
2 K 0.500 0.500 0.000  0.03
3 Si 0.000 0.500 0.500  0.01
4 Sc 0.500 0.000 0.500  0.44

Uncorrected formation energy, eV/atom: 0.598

***

Crystalline KScSi at its relaxed geometry. Source: the Alexandria database, functional PBE.

Cell: 6.349 5.373 7.056 Å, 102.25 63.24 126.21°
Each line ends with the local moment (μB).
Fractional positions:
1 K 0.625 0.671 0.687  0.02
2 K 0.999 0.444 0.712  0.02
3 Si 0.508 0.558 0.200  0.00
4 Si 0.116 0.557 0.200  0.00
5 Sc 0.560 0.117 0.263  0.10
6 Sc 0.064 0.998 0.137  0.10

Uncorrected formation energy, eV/atom: -0.096

***

uncorrected formation energy of number 3 (KScSi)? -0.096 eV/atom

***

Among the records above, which one has the highest uncorrected formation energy? number 2